Compound: Nd12Bi6Os
Source: Alexandria
Functional: PBE-GGA
Structure: relaxed

The structure belongs to space group R-3 (No. 148, hexagonal axes); the cell edges are 13.6529, 13.6529 and 12.7665 Å and the angles 90.00°, 90.00° and 120.00°. The inequivalent atoms are Nd at (0.0303, 0.1918, 0.3889), Nd at (0.0652, 0.1919, 0.8791), Bi at (0.0464, 0.2869, 0.6390) and Os at (0.0000, 0.0000, 0.0000).

As for the total energy: -302.814 eV/cell. The value obtained for the formation energy is -0.485 eV/atom. For the density of states at the Fermi level, the calculation gives 47.6 states/eV/cell.

Compound: Nd2BiOs
Source: Alexandria
Functional: PBE-GGA
Structure: relaxed

The structure belongs to space group R-3m (No. 166, hexagonal axes); the cell edges are 4.1377, 4.1377 and 24.3660 Å and the angles 90.00°, 90.00° and 120.00°. The inequivalent atoms are Nd at (0.0000, 0.0000, 0.2324), Bi at (0.0000, 0.0000, 0.0000) and Os at (0.0000, 0.0000, 0.5000).

As for the total energy: -74.782 eV/cell. The value obtained for the formation energy is -0.070 eV/atom. For the density of states at the Fermi level, the calculation gives 11.2 states/eV/cell.

What is the formula in the first record? Nd12Bi6Os